Record 1
Density functional theory data (GGA-PBE) for an optimized crystal structure of NpTiMn.

Energy relative to the elements = 0.345 eV/atom
VASP energy = -0.710 Ry/atom
Magnetization = 0.40 μB/atom

Lattice parameters (Å, degrees): 2.866 4.908 9.040 120.40 90.00 106.97
Positions (direct):
Ti  0.593  0.186  0.917
Ti  0.407  0.814  0.083
Np  0.751  0.502  0.730
Np  0.249  0.498  0.270
Mn  0.388  0.775  0.548
Mn  0.612  0.225  0.452


Record 2
Density functional theory data (GGA-PBE) for an optimized crystal structure of NpTiMn4.

Energy relative to the elements = 0.101 eV/atom
VASP energy = -0.697 Ry/atom
Magnetization = 1.16 μB/atom

Lattice parameters (Å, degrees): 4.898 4.898 4.898 60.00 60.00 60.00
Positions (direct):
Np  0.250  0.250  0.250
Mn  0.626  0.626  0.123
Mn  0.626  0.123  0.626
Mn  0.626  0.626  0.626
Mn  0.123  0.626  0.626
Ti  0.000  0.000  0.000


Record 3
Density functional theory data (GGA-PBE) for an optimized crystal structure of TmNpMn17.

Energy relative to the elements = 0.040 eV/atom
VASP energy = -0.667 Ry/atom
Magnetization = 0.09 μB/atom

Lattice parameters (Å, degrees): 6.270 6.270 6.270 86.18 86.18 86.18
Positions (direct):
Tm  0.647  0.647  0.647
Np  0.359  0.359  0.359
Mn  0.272  0.999  0.724
Mn  0.724  0.272  0.999
Mn  0.999  0.724  0.272
Mn  0.272  0.724  0.999
Mn  0.999  0.272  0.724
Mn  0.724  0.999  0.272
Mn  0.359  0.891  0.359
Mn  0.359  0.359  0.891
Mn  0.891  0.359  0.359
Mn  0.634  0.135  0.634
Mn  0.634  0.634  0.135
Mn  0.135  0.634  0.634
Mn  0.996  0.501  0.996
Mn  0.996  0.996  0.501
Mn  0.501  0.996  0.996
Mn  0.900  0.900  0.900
Mn  0.101  0.101  0.101


Record 4
Density functional theory data (GGA-PBE) for an optimized crystal structure of TmNpMn.

Energy relative to the elements = 0.149 eV/atom
VASP energy = -0.640 Ry/atom
Magnetization = 0.67 μB/atom

Lattice parameters (Å, degrees): 4.529 6.156 5.399 71.82 65.20 68.42
Positions (direct):
Mn  0.365  0.218  0.052
Mn  0.635  0.782  0.948
Np  0.643  0.466  0.247
Np  0.357  0.534  0.753
Tm  0.909  0.859  0.323
Tm  0.091  0.141  0.677


Record 5
Density functional theory data (GGA-PBE) for an optimized crystal structure of TmNpMn4.

Energy relative to the elements = 0.204 eV/atom
VASP energy = -0.648 Ry/atom
Magnetization = 1.06 μB/atom

Lattice parameters (Å, degrees): 5.026 5.026 5.026 60.00 60.00 60.00
Positions (direct):
Np  0.250  0.250  0.250
Tm  0.000  0.000  0.000
Mn  0.625  0.625  0.126
Mn  0.625  0.126  0.625
Mn  0.625  0.625  0.625
Mn  0.126  0.625  0.625


Record 6
Density functional theory data (GGA-PBE) for an optimized crystal structure of NpUMn4.

Energy relative to the elements = 0.032 eV/atom
VASP energy = -0.744 Ry/atom
Magnetization = 0.40 μB/atom

Lattice parameters (Å, degrees): 5.004 5.004 5.004 60.00 60.00 60.00
Positions (direct):
Np  0.250  0.250  0.250
Mn  0.625  0.625  0.125
Mn  0.625  0.125  0.625
Mn  0.625  0.625  0.625
Mn  0.125  0.625  0.625
U  0.000  0.000  0.000


Please write out number 1 again, unchanged.
Density functional theory data (GGA-PBE) for an optimized crystal structure of NpTiMn.

Energy relative to the elements = 0.345 eV/atom
VASP energy = -0.710 Ry/atom
Magnetization = 0.40 μB/atom

Lattice parameters (Å, degrees): 2.866 4.908 9.040 120.40 90.00 106.97
Positions (direct):
Ti  0.593  0.186  0.917
Ti  0.407  0.814  0.083
Np  0.751  0.502  0.730
Np  0.249  0.498  0.270
Mn  0.388  0.775  0.548
Mn  0.612  0.225  0.452


Question: Which value of VASP energy does entry 4 give?
Answer: -0.640 Ry/atom


Question: energy relative to the elements of number 2 (NpTiMn4)?
Answer: 0.101 eV/atom